Entry from Alexandria via LeMat-Bulk: a geometry-optimized LiOs4Ru structure (PBE).

abc: 5.101 5.101 5.101
angles: 60.00 60.00 60.00
Element x y z (fractional)
Li  0.000  0.000  0.000
Os  0.375  0.375  0.375
Os  0.375  0.375  0.875
Os  0.375  0.875  0.375
Os  0.875  0.375  0.375
Ru  0.750  0.750  0.750

Calculated values
* crystal system: cubic
* space-group type: No. 216
* spin magnetization: 0.00 μB per atom
* D(E_F): 7.84 states/eV per cell
* calculated formation energy: 0.6829 eV/atom

Entry from Alexandria via LeMat-Bulk: a geometry-optimized LiMg6Sn structure (PBE).

abc: 5.096 6.422 6.422
angles: 58.27 90.00 90.00
Element x y z (fractional)
Li  0.000  0.000  0.000
Mg  0.000  0.001  0.497
Mg  0.000  0.497  0.001
Mg  0.500  0.159  0.668
Mg  0.500  0.162  0.162
Mg  0.500  0.668  0.159
Mg  0.500  0.668  0.668
Sn  0.000  0.500  0.500

Calculated values
* crystal system: orthorhombic
* space-group type: No. 38
* spin magnetization: 0.00 μB per atom
* D(E_F): 3.50 states/eV per cell
* calculated formation energy: -0.0774 eV/atom

Entry from Alexandria via LeMat-Bulk: a geometry-optimized CaHo4SnS8 structure (PBE).

abc: 8.183 8.183 8.183
angles: 59.25 59.25 59.25
Element x y z (fractional)
Ca  0.000  0.000  0.000
Ho  0.374  0.374  0.881
Ho  0.374  0.881  0.374
Ho  0.753  0.753  0.753
Ho  0.881  0.374  0.374
Sn  0.370  0.370  0.370
S  0.131  0.131  0.592
S  0.131  0.592  0.131
S  0.136  0.136  0.136
S  0.144  0.629  0.629
S  0.592  0.131  0.131
S  0.619  0.619  0.619
S  0.629  0.144  0.629
S  0.629  0.629  0.144

Calculated values
* crystal system: trigonal
* space-group type: No. 160
* spin magnetization: 0.00 μB per atom
* E_form (uncorrected): -1.777 eV per atom

Entry from Alexandria via LeMat-Bulk: a geometry-optimized RbSrTe2N structure (PBE).

abc: 6.326 6.326 5.120
angles: 90.00 90.00 90.00
Element x y z (fractional)
Rb  0.000  0.000  0.000
Sr  0.500  0.500  0.500
Te  0.000  0.500  0.000
Te  0.500  0.000  0.000
N  0.000  0.000  0.500

Calculated values
* crystal system: tetragonal
* space-group type: No. 123
* spin magnetization: 0.53 μB per atom
* D(E_F): 5.72 states/eV per cell
* E_form (uncorrected): 0.619 eV per atom

Entry from Alexandria via LeMat-Bulk: a geometry-optimized DyY2Tl2Zn2 structure (PBE).

abc: 9.604 9.604 9.604
angles: 28.49 28.49 28.49
Element x y z (fractional)
Dy  0.000  0.000  0.000
Y  0.126  0.126  0.126
Y  0.874  0.874  0.874
Tl  0.261  0.261  0.261
Tl  0.739  0.739  0.739
Zn  0.390  0.390  0.390
Zn  0.610  0.610  0.610

Calculated values
* crystal system: trigonal
* space-group type: No. 166
* spin magnetization: 0.00 μB per atom
* D(E_F): 3.04 states/eV per cell
* calculated formation energy: -0.1709 eV/atom

Entry from Alexandria via LeMat-Bulk: a geometry-optimized LaPmNdZr structure (PBE).

abc: 5.618 5.618 5.618
angles: 60.00 60.00 60.00
Element x y z (fractional)
La  0.000  0.000  0.000
Pm  0.500  0.500  0.500
Nd  0.250  0.250  0.250
Zr  0.750  0.750  0.750

Calculated values
* crystal system: cubic
* space-group type: No. 216
* spin magnetization: 0.17 μB per atom
* D(E_F): 8.11 states/eV per cell
* calculated formation energy: 0.2379 eV/atom

Entry from Alexandria via LeMat-Bulk: a geometry-optimized VCu5Au6 structure (PBE).

abc: 7.502 7.502 4.249
angles: 106.41 106.41 115.01
Element x y z (fractional)
V  0.000  0.000  0.000
Cu  0.159  0.841  0.500
Cu  0.331  0.669  0.000
Cu  0.500  0.500  0.500
Cu  0.669  0.331  0.000
Cu  0.841  0.159  0.500
Au  0.086  0.423  0.255
Au  0.259  0.259  0.759
Au  0.423  0.086  0.255
Au  0.577  0.914  0.745
Au  0.741  0.741  0.241
Au  0.914  0.577  0.745

Calculated values
* crystal system: monoclinic
* space-group type: No. 12
* spin magnetization: 0.20 μB per atom
* D(E_F): 6.53 states/eV per cell
* calculated formation energy: -0.0050 eV/atom

Entry from Alexandria via LeMat-Bulk: a geometry-optimized NaHoAsAu structure (PBE).

abc: 4.986 4.986 4.986
angles: 60.00 60.00 60.00
Element x y z (fractional)
Na  0.000  0.000  0.000
Ho  0.500  0.500  0.500
As  0.250  0.250  0.250
Au  0.750  0.750  0.750

Calculated values
* crystal system: cubic
* space-group type: No. 216
* spin magnetization: 0.00 μB per atom
* calculated formation energy: -0.7389 eV/atom

Entry from Alexandria via LeMat-Bulk: a geometry-optimized K2MgPaS4 structure (PBE).

abc: 6.850 4.014 7.740
angles: 90.00 107.67 90.00
Element x y z (fractional)
K  0.000  0.000  0.000
K  0.500  0.500  0.000
Mg  0.000  0.500  0.500
Pa  0.500  0.000  0.500
S  0.229  0.000  0.692
S  0.264  0.500  0.296
S  0.736  0.500  0.704
S  0.771  0.000  0.308

Calculated values
* crystal system: monoclinic
* space-group type: No. 10
* spin magnetization: 0.13 μB per atom
* D(E_F): 5.29 states/eV per cell
* E_form (uncorrected): -1.468 eV per atom

Entry from Alexandria via LeMat-Bulk: a geometry-optimized Fe3SiW structure (PBE).

abc: 4.410 4.410 4.410
angles: 90.00 90.00 90.00
Element x y z (fractional)
Fe  0.000  0.000  0.500
Fe  0.000  0.500  0.000
Fe  0.500  0.000  0.000
Si  0.500  0.500  0.500
W  0.000  0.000  0.000

Calculated values
* crystal system: cubic
* space-group type: No. 221
* spin magnetization: 0.05 μB per atom
* D(E_F): 10.99 states/eV per cell
* E_form (uncorrected): 1.852 eV per atom

Entry from Alexandria via LeMat-Bulk: a geometry-optimized CaP2Pt7Pb2 structure (PBE).

abc: 3.987 3.987 15.313
angles: 97.41 97.41 89.96
Element x y z (fractional)
Ca  0.000  0.000  0.000
P  0.386  0.386  0.770
P  0.614  0.614  0.230
Pt  0.073  0.574  0.147
Pt  0.311  0.311  0.618
Pt  0.426  0.927  0.853
Pt  0.500  0.500  0.000
Pt  0.574  0.073  0.147
Pt  0.689  0.689  0.382
Pt  0.927  0.426  0.853
Pb  0.210  0.210  0.421
Pb  0.790  0.790  0.579

Calculated values
* crystal system: monoclinic
* space-group type: No. 12
* spin magnetization: 0.00 μB per atom
* D(E_F): 3.38 states/eV per cell
* calculated formation energy: -0.5093 eV/atom

Entry from Alexandria via LeMat-Bulk: a geometry-optimized RbNaZr2Cu structure (PBE).

abc: 5.091 5.091 6.114
angles: 90.00 90.00 90.00
Element x y z (fractional)
Rb  0.000  0.000  0.000
Na  0.500  0.500  0.000
Zr  0.000  0.500  0.500
Zr  0.500  0.000  0.500
Cu  0.500  0.500  0.500

Calculated values
* crystal system: tetragonal
* space-group type: No. 123
* spin magnetization: 0.53 μB per atom
* D(E_F): 7.89 states/eV per cell
* calculated formation energy: 0.8367 eV/atom

Entry from Alexandria via LeMat-Bulk: a geometry-optimized Ce2InH structure (PBE).

abc: 3.271 3.271 9.138
angles: 100.24 100.24 60.04
Element x y z (fractional)
Ce  0.000  0.000  0.000
Ce  0.211  0.211  0.636
In  0.771  0.771  0.318
H  0.606  0.606  0.819

Calculated values
* crystal system: monoclinic
* space-group type: No. 8
* electronic total energy: -4.740 eV per atom
* spin magnetization: 0.19 μB per atom
* D(E_F): 7.78 states/eV per cell

Entry from Alexandria via LeMat-Bulk: a geometry-optimized GdYPb2 structure (PBE).

abc: 3.550 3.550 9.014
angles: 90.00 90.00 90.00
Element x y z (fractional)
Gd  0.000  0.000  0.000
Y  0.000  0.000  0.500
Pb  0.500  0.500  0.252
Pb  0.500  0.500  0.748

Calculated values
* crystal system: tetragonal
* space-group type: No. 123
* spin magnetization: 1.78 μB per atom
* D(E_F): 3.35 states/eV per cell
* calculated formation energy: -0.4937 eV/atom

Entry from Alexandria via LeMat-Bulk: a geometry-optimized HfBe3S structure (PBE).

abc: 4.787 4.787 4.787
angles: 90.00 90.00 90.00
Element x y z (fractional)
Hf  0.000  0.000  0.000
Be  0.000  0.000  0.500
Be  0.000  0.500  0.000
Be  0.500  0.000  0.000
S  0.500  0.500  0.500

Calculated values
* crystal system: cubic
* space-group type: No. 221
* spin magnetization: 0.00 μB per atom
* D(E_F): 1.58 states/eV per cell
* E_form (uncorrected): 1.930 eV per atom

Entry from Alexandria via LeMat-Bulk: a geometry-optimized Pm4CoSb structure (PBE).

abc: 10.434 10.434 6.526
angles: 90.00 90.00 150.07
Element x y z (fractional)
Pm  0.045  0.955  0.750
Pm  0.195  0.805  0.002
Pm  0.195  0.805  0.498
Pm  0.403  0.597  0.750
Pm  0.597  0.403  0.250
Pm  0.805  0.195  0.502
Pm  0.805  0.195  0.998
Pm  0.955  0.045  0.250
Co  0.085  0.915  0.250
Co  0.915  0.085  0.750
Sb  0.347  0.653  0.250
Sb  0.653  0.347  0.750

Calculated values
* crystal system: orthorhombic
* space-group type: No. 63
* spin magnetization: 0.00 μB per atom
* D(E_F): 14.14 states/eV per cell
* E_form (uncorrected): -0.324 eV per atom

Entry from Alexandria via LeMat-Bulk: a geometry-optimized Pm2Pr2Sm7 structure (PBE).

abc: 6.830 6.830 8.504
angles: 99.42 99.42 88.54
Element x y z (fractional)
Pm  0.186  0.814  0.000
Pm  0.814  0.186  0.000
Pr  0.399  0.399  0.656
Pr  0.601  0.601  0.344
Sm  0.000  0.000  0.500
Sm  0.099  0.509  0.320
Sm  0.306  0.306  0.989
Sm  0.491  0.901  0.680
Sm  0.509  0.099  0.320
Sm  0.694  0.694  0.011
Sm  0.901  0.491  0.680

Calculated values
* crystal system: monoclinic
* space-group type: No. 12
* spin magnetization: 0.00 μB per atom
* D(E_F): 15.54 states/eV per cell
* calculated formation energy: 0.1734 eV/atom

Entry from Alexandria via LeMat-Bulk: a geometry-optimized Dy2RhAu4 structure (PBE).

abc: 5.865 5.865 5.994
angles: 119.27 119.27 89.85
Element x y z (fractional)
Dy  0.000  0.500  0.000
Dy  0.500  0.000  0.000
Rh  0.000  0.000  0.000
Au  0.000  0.000  0.500
Au  0.000  0.500  0.500
Au  0.500  0.000  0.500
Au  0.500  0.500  0.500

Calculated values
* crystal system: monoclinic
* space-group type: No. 12
* spin magnetization: 0.00 μB per atom
* D(E_F): 2.60 states/eV per cell
* calculated formation energy: -0.6234 eV/atom

Entry from Alexandria via LeMat-Bulk: a geometry-optimized Li2VSnH structure (PBE).

abc: 3.986 3.986 4.233
angles: 90.00 90.00 90.00
Element x y z (fractional)
Li  0.000  0.500  0.000
Li  0.500  0.000  0.000
V  0.000  0.000  0.500
Sn  0.500  0.500  0.500
H  0.000  0.000  0.000

Calculated values
* crystal system: tetragonal
* space-group type: No. 123
* electronic total energy: -4.200 eV per atom
* spin magnetization: 0.41 μB per atom
* D(E_F): 3.50 states/eV per cell

Entry from Alexandria via LeMat-Bulk: a geometry-optimized RbPrTe3Au structure (PBE).

abc: 9.019 9.019 11.517
angles: 90.00 90.00 151.63
Element x y z (fractional)
Rb  0.246  0.754  0.750
Rb  0.754  0.246  0.250
Pr  0.000  0.000  0.000
Pr  0.000  0.000  0.500
Te  0.079  0.921  0.250
Te  0.375  0.625  0.066
Te  0.375  0.625  0.434
Te  0.625  0.375  0.566
Te  0.625  0.375  0.934
Te  0.921  0.079  0.750
Au  0.478  0.522  0.250
Au  0.522  0.478  0.750

Calculated values
* crystal system: orthorhombic
* space-group type: No. 63
* spin magnetization: 0.00 μB per atom
* D(E_F): 8.55 states/eV per cell
* E_form (uncorrected): -0.929 eV per atom